## RbLaTl2F6 (PBE)

Data for crystalline RbLaTl2F6 at its relaxed geometry.

As for the size of the total moment: 0.00 μB/f.u. The value obtained for the density of states at the Fermi level is 0.00 states/eV per cell. The value obtained for the energy is -0.18698 hartree per atom. Its symmetry is R3.

Geometry as extended XYZ:
```
10
Lattice="3.450 1.992 5.696 -3.450 1.992 5.696 0.000 -3.984 5.696" Properties=species:S:1:pos:R:3 pbc="T T T"
Rb 0.000 0.000 0.000
La 0.000 0.000 8.411
Tl 0.000 0.000 4.643
Tl 0.000 0.000 13.231
F -0.807 -1.560 6.835
F -2.038 -0.347 9.487
F -0.948 1.479 6.835
F 1.319 -1.592 9.487
F 1.755 0.081 6.835
F 0.719 1.939 9.487
```

=====

## Rb2LaYF6 (PBE)

Data for crystalline Rb2LaYF6 at its relaxed geometry.

As for the size of the total moment: 1.00 μB/f.u. The value obtained for the density of states at the Fermi level is 12.64 states/eV per cell. The value obtained for the energy is -0.20275 hartree per atom. Its symmetry is Fm-3m.

Geometry as extended XYZ:
```
10
Lattice="0.000 4.775 4.775 4.775 0.000 4.775 4.775 4.775 0.000" Properties=species:S:1:pos:R:3 pbc="T T T"
Rb 2.387 2.387 2.387
Rb 7.162 7.162 7.162
La 0.000 0.000 0.000
Y 4.775 4.775 4.775
F 4.775 4.775 2.527
F 4.775 2.527 4.775
F 7.022 4.775 4.775
F 2.527 4.775 4.775
F 4.775 7.022 4.775
F 4.775 4.775 7.022
```

=====

## RbLaZnF6 (PBE)

Data for crystalline RbLaZnF6 at its relaxed geometry.

As for the size of the total moment: 0.00 μB/f.u. The value obtained for the density of states at the Fermi level is 0.00 states/eV per cell. The value obtained for the energy is -0.19266 hartree per atom. Its symmetry is P-31c.

Geometry as extended XYZ:
```
18
Lattice="6.039 0.000 0.000 -3.020 5.230 0.000 0.000 0.000 11.343" Properties=species:S:1:pos:R:3 pbc="T T T"
Rb 0.000 0.000 0.000
Rb 0.000 0.000 5.671
La 0.000 3.487 2.836
La 3.020 1.743 8.507
Zn 0.000 3.487 8.507
Zn 3.020 1.743 2.836
F -1.001 2.063 7.361
F -1.733 3.332 9.653
F 1.001 2.063 9.653
F -0.733 5.065 7.361
F 2.287 0.165 1.690
F 1.286 1.898 3.982
F 1.733 3.332 7.361
F 0.733 5.065 9.653
F 3.752 0.165 3.982
F 2.019 3.167 1.690
F 4.753 1.898 1.690
F 4.020 3.167 3.982
```

=====

## Rb2LaZn3F12 (PBE)

Data for crystalline Rb2LaZn3F12 at its relaxed geometry.

As for the size of the total moment: 0.66 μB/f.u. The value obtained for the density of states at the Fermi level is 11.90 states/eV per cell. The value obtained for the energy is -0.16745 hartree per atom. Its symmetry is R-3m.

Geometry as extended XYZ:
```
18
Lattice="3.820 2.205 5.783 -3.820 2.205 5.783 0.000 -4.411 5.783" Properties=species:S:1:pos:R:3 pbc="T T T"
Rb 0.000 0.000 1.957
Rb 0.000 0.000 15.393
La 0.000 0.000 8.675
Zn -1.910 -1.103 5.783
Zn -1.910 1.103 11.567
Zn 0.000 2.205 5.783
F -1.951 -1.127 7.806
F 0.000 -1.663 6.044
F -1.440 0.832 6.044
F 0.000 -2.253 9.545
F -1.951 1.127 9.545
F -1.440 -0.832 11.306
F 1.440 0.832 6.044
F 1.951 -1.127 7.806
F 0.000 2.253 7.806
F 1.440 -0.832 11.306
F 0.000 1.663 11.306
F 1.951 1.127 9.545
```

=====

Look up the size of the total moment of the second one. 1.00 μB/f.u.